The following is a GGA-PBE calculation of crystalline Tb6Sm2Tm at its relaxed geometry, from Alexandria.

It has space group C2/c (No. 15), with a = 10.6790 Å, b = 17.6733 Å, c = 6.1427 Å, α = 90.00°, β = 93.48° and γ = 90.00°. The inequivalent atoms are Tb at (0.0802, 0.0854, 0.0007), Tb at (0.0801, 0.4134, 0.0019), Tb at (0.1683, 0.2495, 0.7453), Sm at (0.2501, 0.0797, 0.4989) and Tm at (0.0000, 0.2488, 0.2500).

Its formation energy is 111 meV/atom.


The following is a GGA-PBE calculation of crystalline Y3Ga11 at its relaxed geometry, from Alexandria.

It has space group Immm (No. 71), with a = 4.2254 Å, b = 10.0361 Å, c = 12.8554 Å, α = 90.00°, β = 90.00° and γ = 90.00°. The inequivalent atoms are Y at (0.0000, 0.0000, 0.0000), Y at (0.0000, 0.0000, 0.3224), Ga at (0.0000, 0.2165, 0.5000), Ga at (0.0000, 0.2729, 0.1441), Ga at (0.0000, 0.3757, 0.3350) and Ga at (0.0000, 0.5000, 0.0000).

Its formation energy is -430 meV/atom.


The following is a GGA-PBE calculation of crystalline V2TcIr at its relaxed geometry, from Alexandria.

It has space group P4/mmm (No. 123), with a = 3.0438 Å, b = 3.0438 Å, c = 6.0184 Å, α = 90.00°, β = 90.00° and γ = 90.00°. The inequivalent atoms are V at (0.0000, 0.0000, 0.2374), Tc at (0.5000, 0.5000, 0.0000) and Ir at (0.5000, 0.5000, 0.5000).

Its formation energy is -336 meV/atom.


The following is a GGA-PBE calculation of crystalline BaPd3Au9 at its relaxed geometry, from Alexandria.

It has space group C2/m (No. 12), with a = 5.6860 Å, b = 13.4950 Å, c = 7.1466 Å, α = 90.00°, β = 111.92° and γ = 90.00°. The inequivalent atoms are Ba at (0.0000, 0.0000, 0.0000), Pd at (0.0000, 0.0000, 0.5000), Pd at (0.2500, 0.2500, 0.0000), Au at (0.0000, 0.5000, 0.5000), Au at (0.1088, 0.3877, 0.2209) and Au at (0.1502, 0.1758, 0.3457).

Its formation energy is -237 meV/atom.